Entry 1:
Computed, not measured: MnGa4FeCo2 after structural relaxation at the PBE-GGA level of DFT.

The density of states at the Fermi level is 6.9 states/eV/f.u. The value obtained for the formation energy is -1.21 eV/f.u.

Lattice parameters (Å, degrees): 4.1147 4.1147 20.2521 90.00 90.00 120.00
Space group R-3m (No. 166, hexagonal axes)
One atom of each set of equivalent atoms:
Mn (0.0000, 0.0000, 0.0000) (multiplicity 3)
Ga (0.0000, 0.0000, 0.1285) (multiplicity 6)
Ga (0.0000, 0.0000, 0.3786) (multiplicity 6)
Fe (0.0000, 0.0000, 0.5000) (multiplicity 3)
Co (0.0000, 0.0000, 0.2539) (multiplicity 6)

Entry 2:
Computed, not measured: Sr2SiNiPt6 after structural relaxation at the PBE-GGA level of DFT.

The density of states at the Fermi level is 7.3 states/eV/f.u.

Lattice parameters (Å, degrees): 11.886 5.558 8.167 90.00 130.30 90.00
Space group C2/m (No. 12)
One atom of each set of equivalent atoms:
Sr (0.236, 0.000, 0.189) (multiplicity 4)
Si (0.000, 0.000, 0.500) (multiplicity 2)
Ni (0.000, 0.500, 0.000) (multiplicity 2)
Pt (0.018, 0.253, 0.276) (multiplicity 8)
Pt (0.249, 0.000, 0.620) (multiplicity 4)

Entry 3:
Computed, not measured: Ag2SnTe4 after structural relaxation at the PBE-GGA level of DFT.

Lattice parameters (Å, degrees): 5.240 8.425 11.339 90.00 91.46 90.00
Space group P2_1/m (No. 11)
One atom of each set of equivalent atoms:
Ag (0.093, 0.250, 0.389) (multiplicity 2)
Ag (0.216, 0.250, 0.945) (multiplicity 2)
Sn (0.437, 0.750, 0.714) (multiplicity 2)
Te (0.068, 0.014, 0.766) (multiplicity 4)
Te (0.136, 0.750, 0.397) (multiplicity 2)
Te (0.295, 0.750, 0.958) (multiplicity 2)

Entry 4:
Computed, not measured: K2NaCd2In5 after structural relaxation at the PBE-GGA level of DFT.

The density of states at the Fermi level is 4.1 states/eV/f.u. The value obtained for the formation energy is -0.67 eV/f.u.

Lattice parameters (Å, degrees): 11.160 11.160 4.751 90.00 90.00 90.00
Space group P4/mbm (No. 127)
One atom of each set of equivalent atoms:
K (0.178, 0.322, 0.000) (multiplicity 4)
Na (0.000, 0.000, 0.000) (multiplicity 2)
Cd (0.120, 0.620, 0.000) (multiplicity 4)
In (0.000, 0.500, 0.500) (multiplicity 2)
In (0.058, 0.796, 0.500) (multiplicity 8)

Entry 5:
Computed, not measured: Ba2ErTlF8 after structural relaxation at the PBE-GGA level of DFT.

The density of states at the Fermi level is 0.0 states/eV/f.u.

Lattice parameters (Å, degrees): 6.014 6.014 12.302 90.00 90.00 90.00
Space group I-4m2 (No. 119)
One atom of each set of equivalent atoms:
Ba (0.000, 0.000, 0.000) (multiplicity 2)
Ba (0.000, 0.500, 0.250) (multiplicity 2)
Er (0.000, 0.500, 0.750) (multiplicity 2)
Tl (0.000, 0.000, 0.500) (multiplicity 2)
F (0.217, 0.269, 0.858) (multiplicity 16)

no.,calculated total energy (eV per cell)
1,-135.49
2,-113.59
3,-44.24
4,-39.42
5,-137.70